[1]
{"formula": "PdSeSCl2", "functional": "GGA-PBE", "state": "relaxed", "formation_energy_uncorrected_mev_per_atom": 365, "m_tot_mub_per_atom": 0.25, "relative_energy_kj_per_mol_atoms": 0.0, "n_ef_per_ev_atom": 0.9439, "dft_energy_ev_per_atom": -2.935, "crystal_system": "tetragonal", "lattice": [[-0.8846, 2.4934, -3.9667], [-3.2399, -3.2416, -1.3151], [-3.4419, 2.4929, 2.3346]], "species": ["S", "Se", "Pd", "Cl", "Cl"], "frac_coords": [[0.0000, 0.0000, 0.5000], [0.5000, 0.5000, 0.5000], [0.0000, 0.0000, 0.0000], [0.0000, 0.5000, 0.0000], [0.5000, 0.0000, 0.0000]]}



[2]
{"formula": "SiPd2SCl", "functional": "GGA-PBE", "state": "relaxed", "formation_energy_uncorrected_mev_per_atom": 863, "m_tot_mub_per_atom": 0.00, "n_ef_per_ev_atom": 0.5324, "dft_energy_ev_per_atom": -3.494, "crystal_system": "tetragonal", "lattice": [[4.4504, 0.0000, 0.0000], [0.0000, 5.3434, 0.0000], [0.0000, 0.0000, 4.4504]], "species": ["S", "Si", "Pd", "Pd", "Cl"], "frac_coords": [[0.0000, 0.5000, 0.0000], [0.5000, 0.5000, 0.5000], [0.0000, 0.0000, 0.5000], [0.5000, 0.0000, 0.0000], [0.0000, 0.0000, 0.0000]]}



Repeat the second record exactly.
{"formula": "SiPd2SCl", "functional": "GGA-PBE", "state": "relaxed", "formation_energy_uncorrected_mev_per_atom": 863, "m_tot_mub_per_atom": 0.00, "n_ef_per_ev_atom": 0.5324, "dft_energy_ev_per_atom": -3.494, "crystal_system": "tetragonal", "lattice": [[4.4504, 0.0000, 0.0000], [0.0000, 5.3434, 0.0000], [0.0000, 0.0000, 4.4504]], "species": ["S", "Si", "Pd", "Pd", "Cl"], "frac_coords": [[0.0000, 0.5000, 0.0000], [0.5000, 0.5000, 0.5000], [0.0000, 0.0000, 0.5000], [0.5000, 0.0000, 0.0000], [0.0000, 0.0000, 0.0000]]}